*one*
# HfInSeN2

A relaxed HfInSeN2 crystal (PBE-GGA, Alexandria via LeMat-Bulk).

Symmetry   P4/mmm
Total moment   0.482 μB/f.u.
Density   7.5 Mg/m³

Cell: 4.0987 4.0987 5.2676 Å, 90.00 90.00 90.00°
With the nearest neighbours (Å) after each atom.
Sites, in units of the cell vectors:
Hf  0.0000  0.0000  0.0000  4 Se 2.90
In  0.5000  0.5000  0.5000  4 N 2.05
Se  0.5000  0.5000  0.0000  2 In 2.63, 4 Hf 2.90
N  0.0000  0.5000  0.5000  2 In 2.05
N  0.5000  0.0000  0.5000  2 In 2.05

***

*two*
# HfInSeN2

A relaxed HfInSeN2 crystal (PBE-GGA, Alexandria via LeMat-Bulk).

Symmetry   P4/mmm
Total moment   0.734 μB/f.u.
Density   7.0 Mg/m³

Cell: 4.1296 4.1296 5.5944 Å, 90.00 90.00 90.00°
With the nearest neighbours (Å) after each atom.
Sites, in units of the cell vectors:
Hf  0.0000  0.0000  0.0000  4 N 2.06
In  0.5000  0.5000  0.5000  4 Se 2.92
Se  0.0000  0.0000  0.5000  2 Hf 2.80, 4 In 2.92
N  0.0000  0.5000  0.0000  2 Hf 2.06
N  0.5000  0.0000  0.0000  2 Hf 2.06

***

Most stable structure - *two*; separation to the second - 1056 meV/atom.

***

*one*
# HfInTeN2

A relaxed HfInTeN2 crystal (PBE-GGA, Alexandria via LeMat-Bulk).

Symmetry   P4/mmm
Total moment   1.105 μB/f.u.
Density   7.4 Mg/m³

Cell: 4.1972 4.1972 5.7553 Å, 90.00 90.00 90.00°
With the nearest neighbours (Å) after each atom.
Sites, in units of the cell vectors:
Hf  0.0000  0.0000  0.0000  4 Te 2.97
In  0.5000  0.5000  0.5000  4 N 2.10
Te  0.5000  0.5000  0.0000  2 In 2.88, 4 Hf 2.97
N  0.0000  0.5000  0.5000  2 In 2.10
N  0.5000  0.0000  0.5000  2 In 2.10

***

*two*
# HfInTeN2

A relaxed HfInTeN2 crystal (PBE-GGA, Alexandria via LeMat-Bulk).

Symmetry   P4/mmm
Total moment   0.553 μB/f.u.
Density   7.1 Mg/m³

Cell: 4.1941 4.1941 6.0096 Å, 90.00 90.00 90.00°
With the nearest neighbours (Å) after each atom.
Sites, in units of the cell vectors:
Hf  0.0000  0.0000  0.0000  4 N 2.10
In  0.5000  0.5000  0.5000  4 Te 2.97
Te  0.0000  0.0000  0.5000  4 In 2.97, 2 Hf 3.00
N  0.0000  0.5000  0.0000  2 Hf 2.10
N  0.5000  0.0000  0.0000  2 Hf 2.10

***

Most stable structure - *two*; separation to the second - 1154 meV/atom.

***

*one*
# Na2HfInSn

A relaxed Na2HfInSn crystal (PBE-GGA, Alexandria via LeMat-Bulk).

Symmetry   P4/mmm
Total moment   0.289 μB/f.u.
Density   3.7 Mg/m³

Cell: 6.1531 6.1531 5.4552 Å, 90.00 90.00 90.00°
With the nearest neighbours (Å) after each atom.
Sites, in units of the cell vectors:
Na  0.0000  0.5000  0.0000  2 Hf 3.08
Na  0.5000  0.0000  0.0000  2 Hf 3.08
Hf  0.0000  0.0000  0.0000  2 Sn 2.73
In  0.5000  0.5000  0.5000  8 Na 4.11, 4 Sn 4.35
Sn  0.0000  0.0000  0.5000  2 Hf 2.73

***

*two*
# Na2HfInSn

A relaxed Na2HfInSn crystal (PBE-GGA, Alexandria via LeMat-Bulk).

Symmetry   P4/mmm
Total moment   0.000 μB/f.u.
Density   4.6 Mg/m³

Cell: 5.4567 5.4567 5.5669 Å, 90.00 90.00 90.00°
With the nearest neighbours (Å) after each atom.
Sites, in units of the cell vectors:
Na  0.0000  0.5000  0.0000  2 Sn 2.73
Na  0.5000  0.0000  0.0000  2 Sn 2.73
Hf  0.0000  0.0000  0.5000  2 Sn 2.78
In  0.5000  0.5000  0.5000  4 Hf 3.86, 8 Na 3.90
Sn  0.0000  0.0000  0.0000  4 Na 2.73, 2 Hf 2.78

***

Most stable structure - *two*; separation to the second - 326 meV/atom.

***

*one*
# HfNb2In2

A relaxed HfNb2In2 crystal (PBE-GGA, Alexandria via LeMat-Bulk).

Symmetry   I4/mmm
Total moment   0.000 μB/f.u.
Density   8.7 Mg/m³

Cell: 4.1495 4.1495 13.0950 Å, 90.00 90.00 90.00°
With the nearest neighbours (Å) after each atom.
Sites, in units of the cell vectors:
Hf  0.0000  0.0000  0.0000  8 Nb 3.16
Hf  0.5000  0.5000  0.5000  8 Nb 3.16
Nb  0.0000  0.0000  0.4109  1 Nb 2.33
Nb  0.0000  0.0000  0.5891  1 Nb 2.33
Nb  0.5000  0.5000  0.0891  1 Nb 2.33
Nb  0.5000  0.5000  0.9109  1 Nb 2.33
In  0.0000  0.5000  0.2500  4 In 2.93, 4 Nb 2.96
In  0.0000  0.5000  0.7500  4 In 2.93, 4 Nb 2.96
In  0.5000  0.0000  0.2500  4 In 2.93, 4 Nb 2.96
In  0.5000  0.0000  0.7500  4 In 2.93, 4 Nb 2.96

***

*two*
# HfNb2In2

A relaxed HfNb2In2 crystal (PBE-GGA, Alexandria via LeMat-Bulk).

Symmetry   C2/m
Total moment   0.000 μB/f.u.
Density   9.7 Mg/m³

Cell: 9.9861 3.8858 7.2189 Å, 90.00 133.20 90.00°
With the nearest neighbours (Å) after each atom.
Sites, in units of the cell vectors:
Hf  0.0000  0.0000  0.0000  6 Nb 2.99-3.30, 6 In 3.01-3.20
Hf  0.5000  0.5000  0.0000  6 Nb 2.99-3.30, 6 In 3.01-3.20
Nb  0.2121  0.0000  0.6053  2 Nb 2.87, 2 Hf 2.99, 5 In 2.99-3.07
Nb  0.2879  0.5000  0.3947  2 Nb 2.87, 2 Hf 2.99, 5 In 2.99-3.07
Nb  0.7121  0.5000  0.6053  2 Nb 2.87, 2 Hf 2.99, 5 In 2.99-3.07
Nb  0.7879  0.0000  0.3947  2 Nb 2.87, 2 Hf 2.99, 5 In 2.99-3.07
In  0.0933  0.5000  0.7844  5 Nb 2.99-3.07, 3 Hf 3.01-3.20, 3 In 3.14-3.15
In  0.4067  0.0000  0.2156  5 Nb 2.99-3.07, 3 Hf 3.01-3.20, 3 In 3.14-3.15
In  0.5933  0.0000  0.7844  5 Nb 2.99-3.07, 3 Hf 3.01-3.20, 3 In 3.14-3.15
In  0.9067  0.5000  0.2156  5 Nb 2.99-3.07, 3 Hf 3.01-3.20, 3 In 3.14-3.15

***

*three*
# HfNb2In2

A relaxed HfNb2In2 crystal (PBE-GGA, Alexandria via LeMat-Bulk).

Symmetry   P4/mbm
Total moment   0.000 μB/f.u.
Density   9.3 Mg/m³

Cell: 8.3855 8.3855 3.0113 Å, 90.00 90.00 90.00°
With the nearest neighbours (Å) after each atom.
Sites, in units of the cell vectors:
Hf  0.0000  0.0000  0.0000  2 Hf 3.01
Hf  0.5000  0.5000  0.0000  2 Hf 3.01
Nb  0.1131  0.3869  0.0000  1 Nb 2.68, 6 In 2.86-2.96
Nb  0.3869  0.8869  0.0000  1 Nb 2.68, 6 In 2.86-2.96
Nb  0.6131  0.1131  0.0000  1 Nb 2.68, 6 In 2.86-2.96
Nb  0.8869  0.6131  0.0000  1 Nb 2.68, 6 In 2.86-2.96
In  0.1823  0.6823  0.5000  6 Nb 2.86-2.96, 2 In 3.01
In  0.3177  0.1823  0.5000  6 Nb 2.86-2.96, 2 In 3.01
In  0.6823  0.8177  0.5000  6 Nb 2.86-2.96, 2 In 3.01
In  0.8177  0.3177  0.5000  6 Nb 2.86-2.96, 2 In 3.01

***

Most stable structure - *two*; separation to the second - 236 meV/atom.

***

*one*
# HfNbIn

A relaxed HfNbIn crystal (PBE-GGA, Alexandria via LeMat-Bulk).

Symmetry   I4mm
Total moment   0.000 μB/f.u.
Density   10.3 Mg/m³

Cell: 3.5850 3.5850 9.6470 Å, 90.00 90.00 90.00°
With the nearest neighbours (Å) after each atom.
Sites, in units of the cell vectors:
Hf  0.0000  0.0000  0.0000  5 Nb 2.96-3.29, 5 In 3.06-3.11
Hf  0.5000  0.5000  0.5000  5 Nb 2.96-3.29, 5 In 3.06-3.11
Nb  0.0000  0.0000  0.3415  5 Hf 2.96-3.29, 5 In 2.99-3.25
Nb  0.5000  0.5000  0.8415  5 Hf 2.96-3.29, 5 In 2.99-3.25
In  0.0000  0.0000  0.6779  5 Nb 2.99-3.25, 5 Hf 3.06-3.11
In  0.5000  0.5000  0.1779  5 Nb 2.99-3.25, 5 Hf 3.06-3.11

***

*two*
# HfNbIn

A relaxed HfNbIn crystal (PBE-GGA, Alexandria via LeMat-Bulk).

Symmetry   P3m1
Total moment   0.502 μB/f.u.
Density   10.4 Mg/m³

Cell: 4.9531 4.9531 2.9152 Å, 90.00 90.00 120.00°
With the nearest neighbours (Å) after each atom.
Sites, in units of the cell vectors:
Hf  0.0000  0.0000  0.0000  2 Hf 2.92, 3 Nb 3.03, 3 In 3.06
Nb  0.3333  0.6667  0.6605  2 Nb 2.92, 3 In 2.98, 3 Hf 3.03
In  0.6667  0.3333  0.3757  2 In 2.92, 3 Nb 2.98, 3 Hf 3.06

***

Most stable structure - *one*; separation to the second - 157 meV/atom.

***

*one*
# HfNbIn

A relaxed HfNbIn crystal (PBE-GGA, Alexandria via LeMat-Bulk).

Symmetry   P4/nmm
Total moment   0.000 μB/f.u.
Density   10.0 Mg/m³

Cell: 3.3913 3.3913 11.1946 Å, 90.00 90.00 90.00°
With the nearest neighbours (Å) after each atom.
Sites, in units of the cell vectors:
Hf  0.2500  0.2500  0.2211  5 Nb 2.96-3.22, 4 In 3.13
Hf  0.7500  0.7500  0.7789  5 Nb 2.96-3.22, 4 In 3.13
Nb  0.2500  0.2500  0.9332  4 Nb 2.83, 4 Hf 2.96
Nb  0.7500  0.7500  0.0668  4 Nb 2.83, 4 Hf 2.96
In  0.2500  0.2500  0.5999  4 Hf 3.13, 8 In 3.28-3.39
In  0.7500  0.7500  0.4001  4 Hf 3.13, 8 In 3.28-3.39

***

*two*
# HfNbIn

A relaxed HfNbIn crystal (PBE-GGA, Alexandria via LeMat-Bulk).

Symmetry   P4/nmm
Total moment   0.000 μB/f.u.
Density   10.1 Mg/m³

Cell: 4.0388 4.0388 7.7940 Å, 90.00 90.00 90.00°
With the nearest neighbours (Å) after each atom.
Sites, in units of the cell vectors:
Hf  0.2500  0.2500  0.1515  5 In 2.91-2.94
Hf  0.7500  0.7500  0.8485  5 In 2.91-2.94
Nb  0.2500  0.7500  0.5000  4 Nb 2.86, 4 In 2.94
Nb  0.7500  0.2500  0.5000  4 Nb 2.86, 4 In 2.94
In  0.2500  0.2500  0.7743  5 Hf 2.91-2.94, 4 Nb 2.94
In  0.7500  0.7500  0.2257  5 Hf 2.91-2.94, 4 Nb 2.94

***

Most stable structure - *one*; separation to the second - 14 meV/atom.